1.
First-principles (PBE-GGA) data for a relaxed structure of TlZnP2, as listed in the Alexandria database.

Properties
crystal system	monoclinic
E_form	10.3	kJ/mol of atoms
space-group type	No. 10

Unit cell a=4.2185 b=3.6397 c=6.1233 alpha=90.00 beta=109.26 gamma=90.00
Closest atoms and distances in Å follow each position.
Positions (direct):
Tl1 0.0000 0.0000 0.0000  2 Zn 3.09, 4 P 3.20
Zn1 0.5000 0.0000 0.5000  4 P 2.48
P1 0.2255 0.5000 0.6470  1 P 2.15
P2 0.7745 0.5000 0.3530  1 P 2.15

=====

2.
First-principles (PBE-GGA) data for a relaxed structure of Na4Ga3Ge3BH4O12, as listed in the Alexandria database.

Properties
energy	-5.51	eV/atom
crystal system	cubic
space-group type	No. 218

Unit cell a=9.2159 b=9.2159 c=9.2159 alpha=90.00 beta=90.00 gamma=90.00
Closest atoms and distances in Å follow each position.
Positions (direct):
Na1 0.1677 0.1677 0.1677  3 O 2.32, 3 H 2.55
Na2 0.1677 0.8323 0.8323  3 O 2.32, 3 H 2.55
Na3 0.3323 0.3323 0.6677  3 O 2.32, 3 H 2.55
Na4 0.3323 0.6677 0.3323  3 O 2.32, 3 H 2.55
Na5 0.6677 0.3323 0.3323  3 O 2.32, 3 H 2.55
Na6 0.6677 0.6677 0.6677  3 O 2.32, 3 H 2.55
Na7 0.8323 0.1677 0.8323  3 O 2.32, 3 H 2.55
Na8 0.8323 0.8323 0.1677  3 O 2.32, 3 H 2.55
Ga1 0.0000 0.2500 0.5000  4 O 1.86
Ga2 0.0000 0.7500 0.5000  4 O 1.86
Ga3 0.2500 0.5000 0.0000  4 O 1.86
Ga4 0.5000 0.0000 0.2500  4 O 1.86
Ga5 0.5000 0.0000 0.7500  4 O 1.86
Ga6 0.7500 0.5000 0.0000  4 O 1.86
Ge1 0.0000 0.5000 0.2500  4 O 1.77
Ge2 0.0000 0.5000 0.7500  4 O 1.77
Ge3 0.2500 0.0000 0.5000  4 O 1.77
Ge4 0.5000 0.2500 0.0000  4 O 1.77
Ge5 0.5000 0.7500 0.0000  4 O 1.77
Ge6 0.7500 0.0000 0.5000  4 O 1.77
B1 0.0000 0.0000 0.0000  4 H 1.23
B2 0.5000 0.5000 0.5000  4 H 1.23
H1 0.0770 0.0770 0.9230  1 B 1.23
H2 0.0770 0.9230 0.0770  1 B 1.23
H3 0.4230 0.4230 0.4230  1 B 1.23
H4 0.4230 0.5770 0.5770  1 B 1.23
H5 0.5770 0.4230 0.5770  1 B 1.23
H6 0.5770 0.5770 0.4230  1 B 1.23
H7 0.9230 0.0770 0.0770  1 B 1.23
H8 0.9230 0.9230 0.9230  1 B 1.23
O1 0.0831 0.3615 0.6457  1 Ge 1.77, 1 Ga 1.86
O2 0.0831 0.6385 0.3543  1 Ge 1.77, 1 Ga 1.86
O3 0.1385 0.4169 0.1457  1 Ge 1.77, 1 Ga 1.86
O4 0.1385 0.5831 0.8543  1 Ge 1.77, 1 Ga 1.86
O5 0.1457 0.1385 0.4169  1 Ge 1.77, 1 Ga 1.86
O6 0.1457 0.8615 0.5831  1 Ge 1.77, 1 Ga 1.86
O7 0.3543 0.0831 0.6385  1 Ge 1.77, 1 Ga 1.86
O8 0.3543 0.9169 0.3615  1 Ge 1.77, 1 Ga 1.86
O9 0.3615 0.3543 0.9169  1 Ge 1.77, 1 Ga 1.86
O10 0.3615 0.6457 0.0831  1 Ge 1.77, 1 Ga 1.86
O11 0.4169 0.1457 0.1385  1 Ge 1.77, 1 Ga 1.86
O12 0.4169 0.8543 0.8615  1 Ge 1.77, 1 Ga 1.86
O13 0.5831 0.1457 0.8615  1 Ge 1.77, 1 Ga 1.86
O14 0.5831 0.8543 0.1385  1 Ge 1.77, 1 Ga 1.86
O15 0.6385 0.3543 0.0831  1 Ge 1.77, 1 Ga 1.86
O16 0.6385 0.6457 0.9169  1 Ge 1.77, 1 Ga 1.86
O17 0.6457 0.0831 0.3615  1 Ge 1.77, 1 Ga 1.86
O18 0.6457 0.9169 0.6385  1 Ge 1.77, 1 Ga 1.86
O19 0.8543 0.1385 0.5831  1 Ge 1.77, 1 Ga 1.86
O20 0.8543 0.8615 0.4169  1 Ge 1.77, 1 Ga 1.86
O21 0.8615 0.4169 0.8543  1 Ge 1.77, 1 Ga 1.86
O22 0.8615 0.5831 0.1457  1 Ge 1.77, 1 Ga 1.86
O23 0.9169 0.3615 0.3543  1 Ge 1.77, 1 Ga 1.86
O24 0.9169 0.6385 0.6457  1 Ge 1.77, 1 Ga 1.86

=====

3.
First-principles (PBE-GGA) data for a relaxed structure of LaTmAl6, as listed in the Alexandria database.

Properties
crystal system	orthorhombic
E_form	-39.1	kJ/mol of atoms
space-group type	No. 38

Unit cell a=4.6585 b=6.4130 c=6.4130 alpha=60.06 beta=90.00 gamma=90.00
Closest atoms and distances in Å follow each position.
Positions (direct):
La1 0.0000 0.0000 0.0000  12 Al 3.16-3.22
Tm1 0.5000 0.6671 0.6671  12 Al 3.13-3.22
Al1 0.0000 0.0429 0.4787  6 Al 2.80-2.82, 2 Tm 3.13
Al2 0.0000 0.4787 0.0429  6 Al 2.80-2.82, 2 Tm 3.13
Al3 0.0000 0.4791 0.4791  6 Al 2.80-2.82, 2 Tm 3.13
Al4 0.5000 0.1926 0.1926  6 Al 2.71-2.82
Al5 0.5000 0.1930 0.6152  6 Al 2.71-2.82
Al6 0.5000 0.6152 0.1930  6 Al 2.71-2.82